BeVOF2: relaxed, PBE+U.

a = 4.0634 Å, b = 4.0634 Å, c = 3.7974 Å
α = 90.00°, β = 90.00°, γ = 90.00°
With the nearest neighbours (Å) after each atom.
Positions (direct):
Be1 0.0000 0.0000 0.0000  8 F 2.78, 4 O 2.87
V1 0.5000 0.5000 0.5000  2 O 1.90, 4 F 2.03
O1 0.5000 0.5000 0.0000  2 V 1.90
F1 0.0000 0.5000 0.5000  2 V 2.03
F2 0.5000 0.0000 0.5000  2 V 2.03

Values from the calculation:
Excess energy over the best structure of this formula in the dataset = 797 meV per atom
V = 62.7 Å³ per cell
Crystal system = tetragonal
E_tot = -26.5 eV/cell